ScPd14Au: optimized geometry, PBE.

Computed properties:
The calculation puts the calculated volume at 15.746 A^3/atom. For the calculated formation energy, the calculation gives -0.22 eV per atom. The value obtained for the density of states at the Fermi level is 30.983 states/eV per cell. As for the total energy: -85.8 eV per cell.

```
data_ScPd14Au
_chemical_formula_sum 'Sc1 Pd14 Au1'
_space_group_name_H-M_alt 'P 4/m m m'
_space_group_IT_number 123
_space_group_name_Hall '-P 4 2'
_cell_length_a 5.618
_cell_length_b 5.618
_cell_length_c 7.982
_cell_angle_alpha 90.00
_cell_angle_beta 90.00
_cell_angle_gamma 90.00
loop_
_atom_site_label
_atom_site_fract_x
_atom_site_fract_y
_atom_site_fract_z
Sc1 0.000 0.000 0.000
Pd1 0.000 0.000 0.500
Pd2 0.000 0.500 0.000
Pd3 0.000 0.500 0.500
Pd4 0.248 0.248 0.251
Pd5 0.500 0.500 0.500
Au1 0.500 0.500 0.000
```